PBE TlFePb2, relaxed; polymorph energy (0 for the lowest one) = 216.0 meV/atom; total magnetic moment = 2.99 μB per formula unit
1.0
5.591 0.059 0.000
-1.464 5.397 0.000
0.000 0.000 3.422
Tl Pb Fe
1 2 1
Cartesian
2.796 0.029 1.711
2.064 2.728 0.000
0.000 0.000 0.000
-0.732 2.698 1.711